Record 1
## BaHg4Cl12 (PBE-GGA)

Data for an optimized crystal structure of BaHg4Cl12.

Computed properties:
The total energy is -2.213 eV per atom. For the calculated density, the calculation gives 4.40 g/cm3. The total magnetization is 0.000 μB per cell. Its space-group type is Im-3, No. 204. The uncorrected formation energy is -0.726 eV per atom.

The structure in CIF format:
```
data_BaHg4Cl12
_chemical_formula_sum 'Ba1 Hg4 Cl12'
_symmetry_space_group_name_H-M 'P 1'
_symmetry_Int_Tables_number 1
_cell_length_a 8.744
_cell_length_b 8.744
_cell_length_c 8.744
_cell_angle_alpha 109.47
_cell_angle_beta 109.47
_cell_angle_gamma 109.47
loop_
_symmetry_equiv_pos_as_xyz
'x,y,z'
loop_
_atom_site_label
_atom_site_type_symbol
_atom_site_fract_x
_atom_site_fract_y
_atom_site_fract_z
Ba1 Ba 0.000 0.000 0.000
Hg1 Hg 0.000 0.000 0.500
Hg2 Hg 0.000 0.500 0.000
Hg3 Hg 0.500 0.000 0.000
Hg4 Hg 0.500 0.500 0.500
Cl1 Cl 0.104 0.819 0.285
Cl2 Cl 0.181 0.285 0.466
Cl3 Cl 0.181 0.715 0.896
Cl4 Cl 0.285 0.104 0.819
Cl5 Cl 0.285 0.466 0.181
Cl6 Cl 0.466 0.181 0.285
Cl7 Cl 0.534 0.819 0.715
Cl8 Cl 0.715 0.534 0.819
Cl9 Cl 0.715 0.896 0.181
Cl10 Cl 0.819 0.285 0.104
Cl11 Cl 0.819 0.715 0.534
Cl12 Cl 0.896 0.181 0.715
```


Record 2
## Na2CoRu2 (PBE-GGA)

Data for an optimized crystal structure of Na2CoRu2.

Computed properties:
Its excess energy over the best structure of this formula in the dataset is 2.509 eV/f.u. For the calculated formation energy, the calculation gives 1233 meV per atom. The total energy is -4.426 eV per atom. For the calculated density, the calculation gives 6.33 g/cm3. The total magnetization is 0.000 μB per cell. Its space-group type is I4/mmm, No. 139.

The structure in CIF format:
```
data_Na2CoRu2
_chemical_formula_sum 'Na2 Co1 Ru2'
_symmetry_space_group_name_H-M 'P 1'
_symmetry_Int_Tables_number 1
_cell_length_a 7.773
_cell_length_b 7.773
_cell_length_c 7.773
_cell_angle_alpha 155.51
_cell_angle_beta 155.51
_cell_angle_gamma 34.91
loop_
_symmetry_equiv_pos_as_xyz
'x,y,z'
loop_
_atom_site_label
_atom_site_type_symbol
_atom_site_fract_x
_atom_site_fract_y
_atom_site_fract_z
Na1 Na 0.250 0.750 0.500
Na2 Na 0.750 0.250 0.500
Co1 Co 0.000 0.000 0.000
Ru1 Ru 0.420 0.420 0.000
Ru2 Ru 0.580 0.580 0.000
```


Record 3
## DyCuP (PBE-GGA)

Data for an optimized crystal structure of DyCuP.

Computed properties:
For the calculated formation energy, the calculation gives -568 meV per atom. The total energy is -5.271 eV per atom. For the calculated density, the calculation gives 6.52 g/cm3. The total magnetization is 0.000 μB per cell. Its space-group type is R-3m, No. 166.

The structure in CIF format:
```
data_DyCuP
_chemical_formula_sum 'Dy2 Cu2 P2'
_symmetry_space_group_name_H-M 'P 1'
_symmetry_Int_Tables_number 1
_cell_length_a 7.534
_cell_length_b 7.534
_cell_length_c 7.534
_cell_angle_alpha 35.82
_cell_angle_beta 35.82
_cell_angle_gamma 35.82
loop_
_symmetry_equiv_pos_as_xyz
'x,y,z'
loop_
_atom_site_label
_atom_site_type_symbol
_atom_site_fract_x
_atom_site_fract_y
_atom_site_fract_z
Dy1 Dy 0.094 0.094 0.094
Dy2 Dy 0.906 0.906 0.906
Cu1 Cu 0.330 0.330 0.330
Cu2 Cu 0.670 0.670 0.670
P1 P 0.224 0.224 0.224
P2 P 0.776 0.776 0.776
```


Record 4
## Pm2HPt (PBE-GGA)

Data for an optimized crystal structure of Pm2HPt.

Computed properties:
Its excess energy over the best structure of this formula in the dataset is 0.480 eV/f.u. The total energy is -5.285 eV per atom. For the calculated density, the calculation gives 8.86 g/cm3. The total magnetization is 0.000 μB per cell. Its space-group type is R3m, No. 160.

The structure in CIF format:
```
data_Pm2HPt
_chemical_formula_sum 'Pm2 H1 Pt1'
_symmetry_space_group_name_H-M 'P 1'
_symmetry_Int_Tables_number 1
_cell_length_a 7.294
_cell_length_b 7.294
_cell_length_c 7.294
_cell_angle_alpha 30.96
_cell_angle_beta 30.96
_cell_angle_gamma 30.96
loop_
_symmetry_equiv_pos_as_xyz
'x,y,z'
loop_
_atom_site_label
_atom_site_type_symbol
_atom_site_fract_x
_atom_site_fract_y
_atom_site_fract_z
Pm1 Pm 0.000 0.000 0.000
Pm2 Pm 0.164 0.164 0.164
H1 H 0.412 0.412 0.412
Pt1 Pt 0.582 0.582 0.582
```


Record 5
## MgPdRhPb (PBE-GGA)

Data for an optimized crystal structure of MgPdRhPb.

Computed properties:
Its excess energy over the best structure of this formula in the dataset is 0.000 eV/f.u. For the calculated formation energy, the calculation gives -362 meV per atom. The total energy is -4.824 eV per atom. For the calculated density, the calculation gives 10.48 g/cm3. The total magnetization is 0.000 μB per cell. Its space-group type is I-4m2, No. 119.

The structure in CIF format:
```
data_MgPdRhPb
_chemical_formula_sum 'Mg1 Pd1 Rh1 Pb1'
_symmetry_space_group_name_H-M 'P 1'
_symmetry_Int_Tables_number 1
_cell_length_a 4.818
_cell_length_b 4.818
_cell_length_c 4.818
_cell_angle_alpha 126.53
_cell_angle_beta 126.53
_cell_angle_gamma 79.02
loop_
_symmetry_equiv_pos_as_xyz
'x,y,z'
loop_
_atom_site_label
_atom_site_type_symbol
_atom_site_fract_x
_atom_site_fract_y
_atom_site_fract_z
Mg1 Mg 0.000 0.000 0.000
Pd1 Pd 0.250 0.750 0.500
Rh1 Rh 0.750 0.250 0.500
Pb1 Pb 0.500 0.500 0.000
```


Record 6
## Be2S (PBE-GGA)

Data for an optimized crystal structure of Be2S.

Computed properties:
Its excess energy over the best structure of this formula in the dataset is 0.316 eV/f.u. The total energy is -4.206 eV per atom. For the calculated density, the calculation gives 1.83 g/cm3. The total magnetization is 0.000 μB per cell. Its space-group type is P-1, No. 2. The uncorrected formation energy is -0.346 eV per atom.

The structure in CIF format:
```
data_Be2S
_chemical_formula_sum 'Be4 S2'
_symmetry_space_group_name_H-M 'P 1'
_symmetry_Int_Tables_number 1
_cell_length_a 3.267
_cell_length_b 3.284
_cell_length_c 8.555
_cell_angle_alpha 90.23
_cell_angle_beta 97.09
_cell_angle_gamma 90.01
loop_
_symmetry_equiv_pos_as_xyz
'x,y,z'
loop_
_atom_site_label
_atom_site_type_symbol
_atom_site_fract_x
_atom_site_fract_y
_atom_site_fract_z
Be1 Be 0.031 0.251 0.095
Be2 Be 0.463 0.249 0.885
Be3 Be 0.537 0.751 0.115
Be4 Be 0.969 0.749 0.905
S1 S 0.415 0.747 0.739
S2 S 0.585 0.253 0.261
```